# PBE-GGA GdPtPb, relaxed
# total DFT energy (no corrections): -0.631 Ry per atom
# D(E_F): 4.0 states/eV per cell
data_GdPtPb
_space_group_name_H-M_alt 'I 4 m m'
_space_group_IT_number 107
_space_group_name_Hall 'I 4 -2'
_cell_length_a 3.553
_cell_length_b 3.553
_cell_length_c 11.589
_cell_angle_alpha 90.00
_cell_angle_beta 90.00
_cell_angle_gamma 90.00
loop_
_atom_site_label
_atom_site_type_symbol
_atom_site_fract_x
_atom_site_fract_y
_atom_site_fract_z
Gd1 Gd 0.000 0.000 0.000
Pt1 Pt 0.000 0.000 0.366
Pb1 Pb 0.000 0.000 0.712